# Mg3NbH

A PBEsol-optimized structure of Mg3NbH (SCAN, the Alexandria database).

total energy	-8.79	eV/atom
space group	Pm-3m

a = 5.567 Å, b = 5.567 Å, c = 5.567 Å
α = 90.00°, β = 90.00°, γ = 90.00°
Positions (direct):
Mg: 0.000 0.000 0.500
Mg: 0.000 0.500 0.000
Mg: 0.500 0.000 0.000
Nb: 0.000 0.000 0.000
H: 0.500 0.500 0.500